MnGaO3 (PBE with a Hubbard U, optimized geometry); total magnetization = 6.0 μB/cell; energy = -32.7 eV per formula unit; density = 4.38 g/cm3
1.0
4.9740 0.0000 0.0000
-2.4870 4.3076 0.0000
0.0000 0.0000 6.1107
Mn Ga O
2 2 6
Direct
0.3333 0.6667 0.0000
0.6667 0.3333 0.0000
0.0000 0.0000 0.3003
0.0000 0.0000 0.6997
0.0000 0.3558 0.8261
0.0000 0.6442 0.1739
0.3558 0.0000 0.8261
0.3558 0.3558 0.1739
0.6442 0.0000 0.1739
0.6442 0.6442 0.8261